# CaBeAs PBEsol relaxed
data_CaBeAs
_space_group_name_H-M_alt 'P 1'
_space_group_IT_number 1
_space_group_name_Hall 'P 1'
_cell_length_a 3.8443
_cell_length_b 3.8443
_cell_length_c 4.2341
_cell_angle_alpha 90.00
_cell_angle_beta 90.00
_cell_angle_gamma 120.00
loop_
_atom_site_label
_atom_site_fract_x
_atom_site_fract_y
_atom_site_fract_z
_atom_site_occupancy
Ca1 0.0000 0.0000 0.0000 1
Be1 0.3333 0.6667 0.5000 1
As1 0.6667 0.3333 0.5000 1
# - Energy of formation: -69 kJ/mol of atoms
# - Theoretical density: 3.80 Mg/m³
# - Fermi-level density of states: 1.23 states/eV/f.u.
# - SG: P-6m2 (187)
# - Energy: -0.164 hartree per atom